(1)
A plane-wave DFT calculation with PBE was carried out for a geometry-optimized Ho3Pa2Rh4 structure.

Results
As for the total energy: -7.6178 eV/atom.

abc: 3.896 6.026 9.395
angles: 97.14 90.00 108.86
Sites, in units of the cell vectors:
1 Ho 0.379 0.757 0.613
2 Rh 0.688 0.377 0.081
3 Pa 0.317 0.634 0.220
4 Rh 0.312 0.623 0.919
5 Rh 0.085 0.169 0.619
6 Ho 0.000 0.000 0.000
7 Ho 0.621 0.243 0.387
8 Pa 0.683 0.366 0.780
9 Rh 0.915 0.831 0.381



(2)
A plane-wave DFT calculation with PBE was carried out for a geometry-optimized HoPaRh4 structure.

Results
As for the total energy: -7.9385 eV/atom. Its polymorph energy (0 for the lowest one) is 0.112 eV per atom.

abc: 5.324 5.324 5.324
angles: 60.00 60.00 60.00
Sites, in units of the cell vectors:
1 Pa 0.250 0.250 0.250
2 Rh 0.124 0.625 0.625
3 Rh 0.625 0.124 0.625
4 Rh 0.625 0.625 0.625
5 Ho 0.000 0.000 0.000
6 Rh 0.625 0.625 0.124



(3)
A plane-wave DFT calculation with PBE was carried out for a geometry-optimized HoPaRuRh structure.

Results
As for the total energy: -8.2319 eV/atom.

abc: 4.843 4.843 4.843
angles: 60.00 60.00 60.00
Sites, in units of the cell vectors:
1 Ru 0.250 0.250 0.250
2 Pa 0.500 0.500 0.500
3 Rh 0.750 0.750 0.750
4 Ho 0.000 0.000 0.000



no.,formation enthalpy at 0 K (meV per atom)
1,-714
2,-692
3,-557